(1)
Entry from Alexandria: crystalline Ho8Ag2Pd at its relaxed geometry (PBE).

Results
density of states at the Fermi level: 11.041 states/eV per cell
energy relative to the elements: -5.593 kcal/mol of atoms
V: 26.894 A^3/atom

Cell lengths 9.1202, 9.1202, 6.8173 Å; angles 105.89, 105.89, 32.98 degrees
Fractional coordinates of all 11 atoms:
Ho  0.0273  0.0273  0.2812
Ho  0.2003  0.2003  0.8141
Ho  0.3382  0.3382  0.5281
Ho  0.4091  0.4091  0.0557
Ho  0.5909  0.5909  0.9443
Ho  0.6618  0.6618  0.4719
Ho  0.7997  0.7997  0.1859
Ho  0.9727  0.9727  0.7188
Ag  0.1849  0.1849  0.2230
Ag  0.8151  0.8151  0.7770
Pd  0.5000  0.5000  0.5000

(2)
Entry from Alexandria: crystalline Ho3AgPd at its relaxed geometry (PBE).

Results
density of states at the Fermi level: 10.174 states/eV per cell
energy relative to the elements: -7.063 kcal/mol of atoms
relative energy among the computed polymorphs: 0.152 eV/atom
V: 27.446 A^3/atom

Cell lengths 3.8209, 8.8400, 8.8400 Å; angles 113.19, 90.00, 90.00 degrees
Fractional coordinates of all 10 atoms:
Ho  0.0000  0.1176  0.8824
Ho  0.0000  0.2588  0.4939
Ho  0.0000  0.4939  0.2588
Ho  0.0000  0.8824  0.1176
Ho  0.5000  0.5271  0.8493
Ho  0.5000  0.8493  0.5271
Ag  0.0000  0.6874  0.6874
Ag  0.5000  0.1880  0.1880
Pd  0.5000  0.1882  0.6882
Pd  0.5000  0.6882  0.1882

(3)
Entry from Alexandria: crystalline Ho3AgPd2 at its relaxed geometry (PBE).

Results
density of states at the Fermi level: 7.908 states/eV per cell
energy relative to the elements: -16.250 kcal/mol of atoms
relative energy among the computed polymorphs: 0.005 eV/atom
V: 22.063 A^3/atom

Cell lengths 4.9926, 4.9926, 12.2648 Å; angles 90.00, 90.00, 120.00 degrees
Fractional coordinates of all 12 atoms:
Ho  0.0000  0.0000  0.2430
Ho  0.0000  0.0000  0.7570
Ho  0.3333  0.6667  0.4169
Ho  0.3333  0.6667  0.9225
Ho  0.6667  0.3333  0.0775
Ho  0.6667  0.3333  0.5831
Ag  0.3333  0.6667  0.6700
Ag  0.6667  0.3333  0.3300
Pd  0.0000  0.0000  0.0000
Pd  0.0000  0.0000  0.5000
Pd  0.3333  0.6667  0.1706
Pd  0.6667  0.3333  0.8294

(4)
Entry from Alexandria: crystalline HoAg2Pd5 at its relaxed geometry (PBE).

Results
density of states at the Fermi level: 9.155 states/eV per cell
energy relative to the elements: -10.584 kcal/mol of atoms
relative energy among the computed polymorphs: 0.000 eV/atom
V: 17.029 A^3/atom

Cell lengths 4.1148, 4.1148, 16.0920 Å; angles 90.00, 90.00, 90.00 degrees
Fractional coordinates of all 16 atoms:
Ho  0.0000  0.0000  0.0000
Ho  0.5000  0.5000  0.5000
Ag  0.0000  0.0000  0.2506
Ag  0.0000  0.0000  0.7494
Ag  0.5000  0.5000  0.2494
Ag  0.5000  0.5000  0.7506
Pd  0.0000  0.0000  0.5000
Pd  0.0000  0.5000  0.1259
Pd  0.0000  0.5000  0.3741
Pd  0.0000  0.5000  0.6259
Pd  0.0000  0.5000  0.8741
Pd  0.5000  0.0000  0.1259
Pd  0.5000  0.0000  0.3741
Pd  0.5000  0.0000  0.6259
Pd  0.5000  0.0000  0.8741
Pd  0.5000  0.5000  0.0000